<a>
First-principles (PBE-GGA) data for crystalline TbTmS2 at its relaxed geometry, as listed in the Open Quantum Materials Database.

The structure belongs to space group C2/m (No. 12); the cell edges are 6.705, 3.884 and 6.727 Å and the angles 90.00°, 109.52° and 90.00°. The inequivalent atoms are Tb at (0.000, 0.000, 0.000), Tm at (0.000, 0.500, 0.500) and S at (0.247, 0.000, 0.742).

The spin magnetization is 0.0 μB/cell.

***

<b>
First-principles (PBE-GGA) data for crystalline TbTmS2 at its relaxed geometry, as listed in the Open Quantum Materials Database.

The structure belongs to space group P4/mmm (No. 123); the cell edges are 3.880, 3.880 and 5.489 Å and the angles 90.00°, 90.00° and 90.00°. The inequivalent atoms are Tb at (0.000, 0.000, 0.000), Tm at (0.500, 0.500, 0.500), S at (0.000, 0.000, 0.500) and S at (0.500, 0.500, 0.000).

The spin magnetization is 0.0 μB/cell.

***

Stability, lowest: <b>

***

<a>
First-principles (PBE-GGA) data for crystalline Tc2S at its relaxed geometry, as listed in the Open Quantum Materials Database.

The structure belongs to space group Fd-3m (No. 227, origin choice 2); the cell edges are 7.263, 7.263 and 7.263 Å and the angles 90.00°, 90.00° and 90.00°. The inequivalent atoms are Tc at (0.000, 0.000, 0.000) and S at (0.125, 0.125, 0.625).

The spin magnetization is 0.1 μB/cell.

***

<b>
First-principles (PBE-GGA) data for crystalline Tc2S at its relaxed geometry, as listed in the Open Quantum Materials Database.

The structure belongs to space group Fd-3m (No. 227, origin choice 2); the cell edges are 10.170, 10.170 and 10.170 Å and the angles 90.00°, 90.00° and 90.00°. The inequivalent atoms are Tc at (0.000, 0.000, 0.000) and S at (0.125, 0.125, 0.125).

The spin magnetization is 34.8 μB/cell.

***

Stability, lowest: <b>